[1]
10
Lattice="-3.778 3.380 -6.089 -6.196 -4.793 1.184 -2.068 3.466 3.207" Properties=species:S:1:pos:R:3 comment="PBE-GGA Sr2TiPb2, optimized geometry" e_form_mev_per_atom=-173.8 dos_at_fermi_per_ev_cell=10.0 crystal_system=tetragonal pbc="T T T"
Pb -6.644 -2.899 -1.152
Pb -7.225 -0.197 -4.446
Pb -3.330 1.486 -3.753
Pb -2.749 -1.216 -0.459
Sr -5.796 -0.899 1.377
Sr -8.716 -0.007 -1.470
Sr -6.246 2.952 -3.075
Sr -3.326 2.059 -0.228
Ti 0.000 0.000 0.000
Ti -4.987 -0.707 -2.452

***

[2]
8
Lattice="5.669 0.000 0.000 0.000 5.669 0.000 2.835 2.835 9.208" Properties=species:S:1:pos:R:3 comment="PBE-GGA SrTiPb2, optimized geometry" e_form_mev_per_atom=195.1 dos_at_fermi_per_ev_cell=8.2 crystal_system=tetragonal pbc="T T T"
Pb 3.544 1.417 2.302
Pb 2.125 4.252 2.302
Pb 4.252 4.960 6.906
Pb 7.087 6.378 6.906
Sr 0.000 0.000 0.000
Sr 5.669 2.835 4.604
Ti 2.835 2.835 0.000
Ti 2.835 5.669 4.604

***

[3]
7
Lattice="-4.362 -0.473 1.451 1.404 -2.965 3.255 -0.481 4.141 7.261" Properties=species:S:1:pos:R:3 comment="PBE-GGA SrTi4Pb2, optimized geometry" e_form_mev_per_atom=1293.1 dos_at_fermi_per_ev_cell=10.2 crystal_system=tetragonal pbc="T T T"
Pb -2.232 0.825 8.276
Pb -1.207 -0.121 3.691
Sr 0.000 0.000 0.000
Ti -2.594 -1.299 6.498
Ti -0.846 2.002 5.469
Ti 0.702 -1.482 1.628
Ti -2.181 -0.236 0.726

***

[4]
5
Lattice="-2.534 0.219 -5.523 -4.529 -3.565 1.937 -3.168 4.921 1.649" Properties=species:S:1:pos:R:3 comment="PBE-GGA Sr3TiPb, optimized geometry" e_form_mev_per_atom=612.1 dos_at_fermi_per_ev_cell=6.8 crystal_system=cubic pbc="T T T"
Pb -5.115 0.788 -0.969
Sr -2.264 -1.782 0.968
Sr -1.584 2.460 0.824
Sr -1.267 0.110 -2.761
Ti 0.000 0.000 0.000

***

[5]
5
Lattice="5.446 0.000 0.000 0.000 5.446 0.000 0.000 0.000 5.435" Properties=species:S:1:pos:R:3 comment="PBE-GGA SrTiTlPb2, optimized geometry" e_form_mev_per_atom=-106.7 dos_at_fermi_per_ev_cell=2.1 crystal_system=tetragonal pbc="T T T"
Pb 0.000 2.723 0.000
Pb 2.723 0.000 0.000
Sr 2.723 2.723 2.717
Tl 0.000 0.000 2.717
Ti 0.000 0.000 0.000

***

[6]
5
Lattice="5.508 0.000 0.000 0.000 4.599 0.000 0.000 0.000 5.508" Properties=species:S:1:pos:R:3 comment="PBE-GGA SrTiVPb2, optimized geometry" e_form_mev_per_atom=302.0 dos_at_fermi_per_ev_cell=4.8 crystal_system=tetragonal pbc="T T T"
Pb 0.000 0.000 2.754
Pb 2.754 0.000 0.000
Sr 2.754 2.300 2.754
Ti 0.000 0.000 0.000
V 0.000 2.300 0.000

***

[7]
5
Lattice="5.871 0.000 0.000 0.000 5.214 0.000 0.000 0.000 5.871" Properties=species:S:1:pos:R:3 comment="PBE-GGA SrTiVPb2, optimized geometry" e_form_mev_per_atom=1970.1 dos_at_fermi_per_ev_cell=10.6 crystal_system=tetragonal pbc="T T T"
Pb 0.000 0.000 2.935
Pb 2.935 0.000 0.000
Sr 0.000 0.000 0.000
Ti 0.000 2.607 0.000
V 2.935 2.607 2.935

***

[8]
5
Lattice="-1.749 3.626 -3.846 2.594 -2.608 -3.639 -4.488 -3.158 -0.936" Properties=species:S:1:pos:R:3 comment="PBE-GGA SrYTiPb2, optimized geometry" e_form_mev_per_atom=31.9 dos_at_fermi_per_ev_cell=4.5 crystal_system=tetragonal pbc="T T T"
Pb -2.244 -1.579 -0.468
Pb -0.875 1.813 -1.923
Y 1.297 -1.304 -1.819
Ti 0.000 0.000 0.000
Sr -1.822 -1.070 -4.210

***

[9]
4
Lattice="-3.688 0.078 3.396 -2.733 -3.044 -2.899 2.031 -4.012 2.298" Properties=species:S:1:pos:R:3 comment="PBE-GGA SrTlPb2, optimized geometry" e_form_mev_per_atom=-319.6 dos_at_fermi_per_ev_cell=2.4 crystal_system=tetragonal pbc="T T T"
Pb 0.000 0.000 0.000
Pb -3.211 -1.483 0.249
Sr -0.829 -1.967 2.847
Tl -0.351 -3.528 -0.300

***

[10]
10
Lattice="3.988 0.000 0.000 0.000 3.988 0.000 0.000 0.000 21.919" Properties=species:S:1:pos:R:3 comment="PBE-GGA Sr5TlPb4, optimized geometry" e_form_mev_per_atom=-506.6 dos_at_fermi_per_ev_cell=5.0 crystal_system=tetragonal pbc="T T T"
Sr 1.994 1.994 2.102
Sr 1.994 1.994 6.493
Sr 1.994 1.994 10.960
Sr 1.994 1.994 15.426
Sr 1.994 1.994 19.817
Tl 0.000 0.000 0.000
Pb 0.000 0.000 4.241
Pb 0.000 0.000 8.718
Pb 0.000 0.000 13.201
Pb 0.000 0.000 17.678

***

[11]
13
Lattice="6.559 0.000 0.000 3.280 8.124 0.000 3.280 0.000 8.025" Properties=species:S:1:pos:R:3 comment="PBE-GGA SrTl10Pb2, optimized geometry" e_form_mev_per_atom=-32.6 dos_at_fermi_per_ev_cell=6.9 crystal_system=orthorhombic pbc="T T T"
Sr 0.000 0.000 0.000
Tl 6.559 5.230 5.177
Tl 6.559 2.894 2.848
Tl 9.839 2.894 5.177
Tl 3.280 5.230 2.848
Tl 1.640 0.000 4.013
Tl 4.919 0.000 4.013
Tl 3.280 1.698 1.678
Tl 9.839 6.426 6.347
Tl 6.559 6.426 1.678
Tl 6.559 1.698 6.347
Pb 1.640 4.062 0.000
Pb 4.919 4.062 0.000

***

[12]
12
Lattice="3.758 0.000 0.000 0.000 9.251 -1.527 -1.879 -3.799 12.197" Properties=species:S:1:pos:R:3 comment="PBE-GGA SrTl3Pb2, optimized geometry" e_form_mev_per_atom=-80.1 dos_at_fermi_per_ev_cell=6.8 crystal_system=monoclinic pbc="T T T"
Sr 0.000 -2.291 8.438
Sr 1.879 7.742 2.232
Tl 0.000 0.258 6.234
Tl 0.000 6.525 -0.416
Tl 0.000 1.393 9.399
Tl 1.879 5.193 4.436
Tl 1.879 4.058 1.271
Tl 1.879 -1.074 11.086
Pb 0.000 3.449 6.628
Pb 1.879 2.002 4.042
Pb 1.879 4.683 9.179
Pb 0.000 0.768 1.492

***

[13]
17
Lattice="8.420 0.000 -2.977 -4.210 7.292 -2.977 0.000 0.000 8.931" Properties=species:S:1:pos:R:3 comment="PBE-GGA Sr4Tl12Pb, optimized geometry" e_form_mev_per_atom=-232.0 dos_at_fermi_per_ev_cell=9.0 crystal_system=cubic pbc="T T T"
Sr 0.000 0.000 4.465
Sr 4.210 0.000 -1.488
Sr 2.105 3.646 1.488
Sr -2.105 3.646 -1.488
Tl -1.296 2.245 1.833
Tl -2.914 5.047 4.121
Tl 2.914 5.047 -4.121
Tl 1.296 2.245 -1.833
Tl 2.592 0.000 1.833
Tl 5.828 0.000 4.121
Tl 3.158 1.823 4.465
Tl 1.053 5.469 -1.488
Tl 5.263 1.823 1.488
Tl -1.053 5.469 1.488
Tl 4.210 3.646 -1.488
Tl 0.000 3.646 4.465
Pb 0.000 0.000 0.000

***

[14]
10
Lattice="9.105 0.000 0.000 0.000 9.105 0.000 0.000 0.000 3.960" Properties=species:S:1:pos:R:3 comment="PBE-GGA SrTl2Pb2, optimized geometry" e_form_mev_per_atom=-152.3 dos_at_fermi_per_ev_cell=7.4 crystal_system=tetragonal pbc="T T T"
Pb 1.534 6.086 1.980
Pb 6.086 7.571 1.980
Pb 7.571 3.019 1.980
Pb 3.019 1.534 1.980
Sr 0.000 0.000 0.000
Sr 4.553 4.553 0.000
Tl 3.386 7.939 0.000
Tl 7.939 5.719 0.000
Tl 5.719 1.166 0.000
Tl 1.166 3.386 0.000

***

[15]
12
Lattice="-6.057 -4.260 -1.001 5.514 -3.299 -6.663 3.102 -1.397 8.737" Properties=species:S:1:pos:R:3 comment="PBE-GGA Sr4TlPb, optimized geometry" e_form_mev_per_atom=-374.4 dos_at_fermi_per_ev_cell=8.8 crystal_system=monoclinic pbc="T T T"
Sr 4.055 -2.092 6.095
Sr 1.108 -6.534 0.229
Sr 3.993 -4.959 3.105
Sr 5.039 -5.593 -1.046
Sr -2.480 -3.363 2.119
Sr -1.435 -3.997 -2.032
Sr 1.450 -2.423 0.844
Sr -1.496 -6.864 -5.022
Tl 7.040 -5.650 1.719
Tl -4.482 -3.306 -0.645
Pb 2.033 -4.161 -2.211
Pb 0.525 -4.795 3.285

***

[16]
7
Lattice="-1.383 -3.519 -2.454 5.730 2.106 -2.111 -2.061 -5.977 9.734" Properties=species:S:1:pos:R:3 comment="PBE-GGA Sr2Tl2Pb3, optimized geometry" e_form_mev_per_atom=-253.0 dos_at_fermi_per_ev_cell=2.9 crystal_system=monoclinic pbc="T T T"
Sr 3.907 -0.998 -0.771
Sr -1.621 -6.392 5.941
Tl 1.566 -2.100 2.129
Tl 0.720 -5.290 3.041
Pb -1.030 -2.989 4.867
Pb 0.734 -2.485 -0.990
Pb 1.552 -4.905 6.160

***

[17]
20
Lattice="-2.400 -2.881 3.329 1.545 -4.102 -2.435 20.355 -0.692 14.079" Properties=species:S:1:pos:R:3 comment="PBE-GGA Sr4Tl15Pb, optimized geometry" e_form_mev_per_atom=-199.2 dos_at_fermi_per_ev_cell=13.4 crystal_system=tetragonal pbc="T T T"
Sr 4.016 -0.136 2.778
Sr 8.130 -0.276 5.623
Sr 12.225 -0.415 8.456
Sr 16.339 -0.555 11.301
Tl -0.428 -3.491 0.447
Tl 3.716 -3.632 3.313
Tl 7.726 -3.768 6.087
Tl 11.774 -3.906 8.886
Tl 15.784 -4.042 11.660
Tl 0.758 -1.507 3.019
Tl 4.901 -1.648 5.885
Tl 8.977 -1.786 8.704
Tl 13.053 -1.925 11.523
Tl 17.196 -2.066 14.389
Tl 2.731 -2.117 0.137
Tl 6.874 -2.258 3.003
Tl 10.950 -2.397 5.822
Tl 15.026 -2.535 8.641
Tl 19.169 -2.676 11.507
Pb 0.000 0.000 0.000

***

[18]
3
Lattice="-3.558 -1.931 3.550 1.721 -2.418 4.493 -0.629 2.420 4.769" Properties=species:S:1:pos:R:3 comment="PBE-GGA SrTlPb, optimized geometry" e_form_mev_per_atom=-262.3 dos_at_fermi_per_ev_cell=2.0 crystal_system=cubic pbc="T T T"
Pb 0.000 0.000 0.000
Sr -1.233 -0.964 6.406
Tl -1.850 -1.447 9.609

***

[19]
12
Lattice="-1.789 1.054 5.409 7.701 0.228 2.504 -0.637 8.980 1.143" Properties=species:S:1:pos:R:3 comment="PBE-GGA Sr5Tl6Pb, optimized geometry" e_form_mev_per_atom=-362.3 dos_at_fermi_per_ev_cell=8.1 crystal_system=orthorhombic pbc="T T T"
Pb 0.000 0.000 0.000
Sr 2.231 6.731 5.633
Sr -0.812 3.250 2.202
Sr 3.850 0.114 1.252
Sr -1.615 6.784 4.351
Sr 3.044 3.531 3.423
Tl 4.164 3.994 6.806
Tl 0.127 3.875 5.493
Tl 1.027 0.584 3.329
Tl 4.885 0.698 4.583
Tl 5.147 6.386 3.562
Tl 1.111 6.267 2.250

***

[20]
12
Lattice="-4.700 0.331 2.164 -1.248 2.282 -9.265 2.468 -9.284 0.576" Properties=species:S:1:pos:R:3 comment="PBE-GGA Sr5TlPb6, optimized geometry" e_form_mev_per_atom=-434.1 dos_at_fermi_per_ev_cell=5.9 crystal_system=orthorhombic pbc="T T T"
Pb -0.254 -3.655 0.014
Pb -1.964 -6.940 -3.200
Pb -3.245 -1.557 -0.604
Pb -0.234 -5.114 -5.921
Pb -1.515 0.269 -3.325
Pb -3.225 -3.015 -6.539
Sr -0.435 -7.397 0.194
Sr 1.248 -5.486 -2.655
Sr -1.740 -3.335 -3.263
Sr -0.028 -1.515 -6.034
Sr -3.045 0.727 -6.719
Tl 0.000 0.000 0.000